The following is a DFT calculation (GGA-PBE) of crystalline CsSc2Tc at its relaxed geometry.

The structure belongs to space group I4_1/amd (No. 141, origin choice 2); the cell edges are 7.755, 7.755 and 10.987 Å and the angles 90.00°, 90.00° and 90.00°. The inequivalent atoms are Cs at (0.000, 0.250, 0.375), Sc at (0.000, 0.000, 0.000) and Tc at (0.000, 0.250, 0.875).

The calculation puts the density of states at the Fermi level at 0.0 states/eV per cell. Its energy of formation from the pure elements is 2.36 eV per formula unit.